No. 1
VASP calculation (PBE-GGA) on crystalline NdDy3Tm at its relaxed geometry.

Unit cell a=3.6305 b=8.4955 c=11.5962 alpha=90.00 beta=90.00 gamma=102.32
Positions (direct):
Nd 0.3075 0.1140 0.2500
Nd 0.6925 0.8860 0.7500
Dy 0.8481 0.1967 0.9985
Dy 0.1519 0.8033 0.0015
Dy 0.8481 0.1967 0.5015
Dy 0.1519 0.8033 0.4985
Dy 0.6436 0.7864 0.2500
Dy 0.3564 0.2136 0.7500
Tm 0.9805 0.4595 0.2500
Tm 0.0195 0.5405 0.7500

As for the space group: P2_1/m (11). For the density of states at the Fermi level, the calculation gives 8.669 states/eV/f.u. The energy above the most stable polymorph in this dataset is 0.79 eV/f.u. The formation energy is 0.3351 eV per atom.

No. 2
VASP calculation (PBE-GGA) on crystalline NdDyTm6 at its relaxed geometry.

Unit cell a=4.9664 b=7.0359 c=7.0359 alpha=90.00 beta=90.00 gamma=90.00
Positions (direct):
Nd 0.5000 0.5000 0.5000
Dy 0.5000 0.0000 0.0000
Tm 0.5000 0.0000 0.5000
Tm 0.5000 0.5000 0.0000
Tm 0.0000 0.2483 0.2483
Tm 0.0000 0.7517 0.7517
Tm 0.0000 0.7516 0.2484
Tm 0.0000 0.2484 0.7516

As for the space group: P4/mmm (123). For the density of states at the Fermi level, the calculation gives 10.296 states/eV/f.u. The energy above the most stable polymorph in this dataset is 0.00 eV/f.u. The formation energy is 0.0246 eV per atom.

No. 3
VASP calculation (PBE-GGA) on crystalline Nd2Dy3Tm2 at its relaxed geometry.

Unit cell a=3.5035 b=8.5254 c=8.9398 alpha=118.61 beta=101.30 gamma=90.00
Positions (direct):
Nd 0.5667 0.9133 0.1334
Nd 0.4333 0.0867 0.8666
Dy 0.0000 0.5000 0.0000
Dy 0.2115 0.7973 0.4230
Dy 0.7885 0.2027 0.5770
Tm 0.8494 0.6648 0.6987
Tm 0.1506 0.3352 0.3013

As for the space group: C2/m (12). For the density of states at the Fermi level, the calculation gives 10.624 states/eV/f.u. The energy above the most stable polymorph in this dataset is 0.74 eV/f.u. The formation energy is 0.1240 eV per atom.

No. 4
VASP calculation (PBE-GGA) on crystalline Nd5Dy2Tm2 at its relaxed geometry.

Unit cell a=8.0713 b=9.5495 c=9.5348 alpha=129.94 beta=53.79 gamma=147.69
Positions (direct):
Nd 0.3355 0.6667 0.3324
Nd 0.6645 0.3333 0.6676
Nd 0.1131 0.2225 0.4453
Nd 0.8869 0.7775 0.5547
Nd 0.0000 0.0000 0.0000
Dy 0.4443 0.8914 0.7824
Dy 0.5557 0.1086 0.2176
Tm 0.2171 0.4457 0.8911
Tm 0.7829 0.5543 0.1089

As for the space group: C2/m (12). For the density of states at the Fermi level, the calculation gives 12.678 states/eV/f.u. The energy above the most stable polymorph in this dataset is 0.00 eV/f.u. The formation energy is 0.0201 eV per atom.

No. 5
VASP calculation (PBE-GGA) on crystalline NdDy4Tm6 at its relaxed geometry.

Unit cell a=7.6878 b=7.6878 c=8.3801 alpha=117.30 beta=117.30 gamma=90.00
Positions (direct):
Nd 0.5000 0.5000 0.0000
Dy 0.0927 0.7584 0.8511
Dy 0.9073 0.9073 0.1489
Dy 0.7584 0.0927 0.8511
Dy 0.2416 0.2416 0.1489
Tm 0.9395 0.4306 0.3701
Tm 0.4306 0.9395 0.3701
Tm 0.5694 0.5694 0.6299
Tm 0.0000 0.5000 0.0000
Tm 0.0605 0.0605 0.6299
Tm 0.5000 0.0000 0.0000

As for the space group: I-42m (121). For the density of states at the Fermi level, the calculation gives 17.468 states/eV/f.u. The energy above the most stable polymorph in this dataset is 3.82 eV/f.u. The formation energy is 0.4660 eV per atom.

No. 6
VASP calculation (PBE-GGA) on crystalline NdDy2Tm6 at its relaxed geometry.

Unit cell a=3.5638 b=3.5638 c=25.8116 alpha=90.00 beta=90.00 gamma=120.00
Last column: magnetic moment on the atom in μB.
Positions (direct):
Nd 0.3333 0.6667 0.0000  -0.03
Dy 0.6667 0.3333 0.3283  0.13
Dy 0.6667 0.3333 0.6717  0.13
Tm 0.6667 0.3333 0.8871  0.06
Tm 0.3333 0.6667 0.4355  0.23
Tm 0.3333 0.6667 0.7807  0.13
Tm 0.3333 0.6667 0.2193  0.13
Tm 0.3333 0.6667 0.5645  0.23
Tm 0.6667 0.3333 0.1129  0.06

As for the space group: P-6m2 (187). For the density of states at the Fermi level, the calculation gives 15.458 states/eV/f.u. The energy above the most stable polymorph in this dataset is 0.27 eV/f.u. The formation energy is 0.0555 eV per atom.

No. 7
VASP calculation (PBE-GGA) on crystalline Nd7DyTm3 at its relaxed geometry.

Unit cell a=10.2597 b=10.2612 c=12.5834 alpha=65.50 beta=114.51 gamma=138.98
Positions (direct):
Nd 0.1645 0.8477 0.2731
Nd 0.1519 0.8352 0.7732
Nd 0.0843 0.4200 0.4712
Nd 0.0863 0.4199 0.9735
Nd 0.5800 0.9157 0.9712
Nd 0.5802 0.9138 0.4735
Nd 0.2855 0.2855 0.7500
Nd 0.7145 0.7145 0.2500
Nd 0.4200 0.0843 0.0288
Nd 0.4198 0.0862 0.5265
Nd 0.9137 0.5801 0.0265
Nd 0.9157 0.5800 0.5288
Nd 0.8481 0.1648 0.2268
Nd 0.8355 0.1523 0.7269
Dy 0.5000 0.5000 0.0000
Dy 0.5000 0.5000 0.5000
Tm 0.3259 0.6678 0.7254
Tm 0.0000 0.0000 0.0000
Tm 0.0000 0.0000 0.5000
Tm 0.3325 0.6744 0.2254
Tm 0.6675 0.3256 0.7746
Tm 0.6741 0.3322 0.2746

As for the space group: C2/c (15). For the density of states at the Fermi level, the calculation gives 16.505 states/eV/f.u. The energy above the most stable polymorph in this dataset is 0.00 eV/f.u. The formation energy is 0.1828 eV per atom.

No. 8
VASP calculation (PBE-GGA) on crystalline Nd4Dy3Tm5 at its relaxed geometry.

Unit cell a=5.9155 b=8.5445 c=9.6284 alpha=105.11 beta=72.11 gamma=69.75
Last column: magnetic moment on the atom in μB.
Positions (direct):
Nd 0.8624 0.2233 0.0518  0.01
Nd 0.1686 0.0470 0.6158  0.00
Nd 0.8314 0.9530 0.3842  0.00
Nd 0.1376 0.7767 0.9482  0.01
Dy 0.5263 0.6881 0.2594  0.01
Dy 0.0000 0.5000 0.5000  0.20
Dy 0.4737 0.3119 0.7406  0.01
Tm 0.6328 0.9364 0.7979  0.01
Tm 0.5000 0.5000 0.5000  0.21
Tm 0.2099 0.4600 0.1201  0.01
Tm 0.7901 0.5400 0.8799  0.01
Tm 0.3672 0.0636 0.2021  0.01

As for the space group: C2/m (12). For the density of states at the Fermi level, the calculation gives 19.238 states/eV/f.u. The formation energy is 0.2325 eV per atom.

No. 9
VASP calculation (PBE-GGA) on crystalline NdDy2Tm9 at its relaxed geometry.

Unit cell a=4.9678 b=4.9678 c=14.8983 alpha=90.00 beta=90.00 gamma=90.00
Positions (direct):
Nd 0.0000 0.0000 0.0000
Dy 0.0000 0.0000 0.3341
Dy 0.0000 0.0000 0.6659
Tm 0.5000 0.5000 0.0000
Tm 0.5000 0.5000 0.3348
Tm 0.5000 0.5000 0.6652
Tm 0.5000 0.0000 0.1688
Tm 0.5000 0.0000 0.5000
Tm 0.5000 0.0000 0.8312
Tm 0.0000 0.5000 0.1688
Tm 0.0000 0.5000 0.5000
Tm 0.0000 0.5000 0.8312

As for the space group: P4/mmm (123). For the density of states at the Fermi level, the calculation gives 16.851 states/eV/f.u. The energy above the most stable polymorph in this dataset is 0.00 eV/f.u. The formation energy is 0.0271 eV per atom.

No. 10
VASP calculation (PBE-GGA) on crystalline Nd12DyTm6 at its relaxed geometry.

Unit cell a=8.6564 b=8.6564 c=8.6564 alpha=88.86 beta=88.86 gamma=88.86
Positions (direct):
Nd 0.7824 0.5361 0.4334
Nd 0.4334 0.7824 0.5361
Nd 0.5361 0.4334 0.7824
Nd 0.2176 0.4639 0.5666
Nd 0.5666 0.2176 0.4639
Nd 0.4639 0.5666 0.2176
Nd 0.0181 0.1931 0.3641
Nd 0.8069 0.6359 0.9819
Nd 0.6359 0.9819 0.8069
Nd 0.9819 0.8069 0.6359
Nd 0.1931 0.3641 0.0181
Nd 0.3641 0.0181 0.1931
Dy 0.0000 0.0000 0.0000
Tm 0.7417 0.8997 0.2952
Tm 0.7048 0.2583 0.1003
Tm 0.1003 0.7048 0.2583
Tm 0.2583 0.1003 0.7048
Tm 0.2952 0.7417 0.8997
Tm 0.8997 0.2952 0.7417

As for the space group: R-3 (148). For the density of states at the Fermi level, the calculation gives 32.445 states/eV/f.u. The energy above the most stable polymorph in this dataset is 2.15 eV/f.u. The formation energy is 0.1314 eV per atom.

No. 11
VASP calculation (PBE-GGA) on crystalline Nd4DyTm7 at its relaxed geometry.

Unit cell a=6.8234 b=6.5550 c=11.8377 alpha=74.90 beta=49.03 gamma=80.84
Positions (direct):
Nd 0.5172 0.6403 0.2885
Nd 0.4828 0.3597 0.7115
Nd 0.6948 0.8312 0.6915
Nd 0.3052 0.1688 0.3085
Dy 0.0000 0.0000 0.0000
Tm 0.7996 0.5117 0.9531
Tm 0.2004 0.4883 0.0469
Tm 0.0587 0.3191 0.6464
Tm 0.9413 0.6809 0.3536
Tm 0.2753 0.8146 0.6204
Tm 0.5000 0.0000 0.0000
Tm 0.7247 0.1854 0.3796

As for the space group: P-1 (2). For the density of states at the Fermi level, the calculation gives 18.688 states/eV/f.u. The energy above the most stable polymorph in this dataset is 0.00 eV/f.u. The formation energy is 0.0890 eV per atom.

No. 12
VASP calculation (PBE-GGA) on crystalline NdDy3Tm7 at its relaxed geometry.

Unit cell a=8.7864 b=9.8365 c=5.4701 alpha=90.00 beta=128.51 gamma=104.98
Positions (direct):
Nd 0.5000 0.5000 0.5000
Dy 0.2232 0.0056 0.7235
Dy 0.0000 0.5000 0.0000
Dy 0.7768 0.9944 0.2765
Tm 0.9285 0.8318 0.9285
Tm 0.8224 0.6422 0.3225
Tm 0.6510 0.2898 0.1510
Tm 0.3490 0.7102 0.8490
Tm 0.5000 0.0000 0.5000
Tm 0.1776 0.3578 0.6775
Tm 0.0715 0.1682 0.0715

As for the space group: P2/m (10). For the density of states at the Fermi level, the calculation gives 18.327 states/eV/f.u. The energy above the most stable polymorph in this dataset is 0.00 eV/f.u. The formation energy is 0.1591 eV per atom.

No. 13
VASP calculation (PBE-GGA) on crystalline NdDy6Tm4 at its relaxed geometry.

Unit cell a=5.6481 b=5.5801 c=25.5834 alpha=90.00 beta=90.00 gamma=120.40
Positions (direct):
Nd 0.8183 0.6366 0.2500
Nd 0.1817 0.3634 0.7500
Dy 0.5000 0.0000 0.0000
Dy 0.5000 0.0000 0.5000
Dy 0.1499 0.2998 0.3197
Dy 0.8501 0.7002 0.6803
Dy 0.8501 0.7002 0.8197
Dy 0.1499 0.2998 0.1803
Dy 0.8177 0.6354 0.3990
Dy 0.1823 0.3646 0.6010
Dy 0.1823 0.3646 0.8990
Dy 0.8177 0.6354 0.1010
Dy 0.4842 0.9684 0.2500
Dy 0.5158 0.0316 0.7500
Tm 0.8395 0.6791 0.5421
Tm 0.4809 0.9618 0.1215
Tm 0.1605 0.3209 0.4579
Tm 0.5191 0.0382 0.8785
Tm 0.8395 0.6791 0.9579
Tm 0.1605 0.3209 0.0421
Tm 0.5191 0.0382 0.6215
Tm 0.4809 0.9618 0.3785

As for the space group: Cmcm (63). For the density of states at the Fermi level, the calculation gives 19.250 states/eV/f.u. The energy above the most stable polymorph in this dataset is 0.00 eV/f.u. The formation energy is 0.1236 eV per atom.

No. 14
VASP calculation (PBE-GGA) on crystalline Nd2DyTm8 at its relaxed geometry.

Unit cell a=6.5550 b=6.6127 c=8.8304 alpha=99.48 beta=111.79 gamma=90.00
Positions (direct):
Nd 0.7549 0.6887 0.5099
Nd 0.2451 0.3113 0.4901
Dy 0.0000 0.0000 0.0000
Tm 0.8252 0.4006 0.1721
Tm 0.6532 0.5994 0.8279
Tm 0.8005 0.1979 0.6010
Tm 0.1995 0.8021 0.3990
Tm 0.3468 0.4006 0.1721
Tm 0.1748 0.5994 0.8279
Tm 0.5884 0.9053 0.1768
Tm 0.4116 0.0947 0.8232

As for the space group: C2/m (12). For the density of states at the Fermi level, the calculation gives 16.329 states/eV/f.u. The energy above the most stable polymorph in this dataset is 0.17 eV/f.u. The formation energy is 0.1773 eV per atom.

No. 15
VASP calculation (PBE-GGA) on crystalline Nd5Dy8Tm at its relaxed geometry.

Unit cell a=8.6540 b=8.4999 c=8.6540 alpha=114.48 beta=98.10 gamma=117.41
Positions (direct):
Nd 0.1301 0.2705 0.1774
Nd 0.7102 0.8523 0.1772
Nd 0.9069 0.7295 0.8596
Nd 0.5179 0.0000 0.5179
Nd 0.3250 0.1477 0.8579
Dy 0.2395 0.6442 0.0275
Dy 0.9731 0.1676 0.6694
Dy 0.5321 0.1668 0.2296
Dy 0.7964 0.3549 0.0086
Dy 0.6537 0.6451 0.4415
Dy 0.5018 0.8324 0.8055
Dy 0.3833 0.3558 0.5952
Dy 0.0629 0.8332 0.3654
Tm 0.0172 0.5000 0.5172

As for the space group: C2 (5). For the density of states at the Fermi level, the calculation gives 19.237 states/eV/f.u. The formation energy is 0.1755 eV per atom.

No. 16
VASP calculation (PBE-GGA) on crystalline NdDy3Tm3 at its relaxed geometry.

Unit cell a=5.6360 b=9.5304 c=9.5296 alpha=120.01 beta=90.00 gamma=90.00
Positions (direct):
Nd 0.7500 0.3334 0.6667
Nd 0.2500 0.6666 0.3333
Dy 0.7500 0.7620 0.8107
Dy 0.7500 0.0488 0.2380
Dy 0.7500 0.1891 0.9513
Dy 0.2500 0.2380 0.1893
Dy 0.2500 0.9512 0.7620
Dy 0.2500 0.8109 0.0487
Tm 0.2500 0.5231 0.6189
Tm 0.2500 0.0956 0.4768
Tm 0.2500 0.3811 0.9043
Tm 0.7500 0.4769 0.3811
Tm 0.7500 0.9044 0.5232
Tm 0.7500 0.6189 0.0957

As for the space group: P6_3/m (176). For the density of states at the Fermi level, the calculation gives 13.701 states/eV/f.u. The energy above the most stable polymorph in this dataset is 0.00 eV/f.u. The formation energy is 0.0095 eV per atom.

No. 17
VASP calculation (PBE-GGA) on crystalline Nd7Dy16Tm6 at its relaxed geometry.

Unit cell a=11.1916 b=11.1916 c=11.1916 alpha=60.00 beta=60.00 gamma=60.00
Positions (direct):
Nd 0.0000 0.0000 0.0000
Nd 0.5000 0.0000 0.5000
Nd 0.0000 0.5000 0.0000
Nd 0.0000 0.5000 0.5000
Nd 0.5000 0.0000 0.0000
Nd 0.0000 0.0000 0.5000
Nd 0.5000 0.5000 0.0000
Dy 0.8717 0.8717 0.3849
Dy 0.8717 0.8717 0.8717
Dy 0.8717 0.3849 0.8717
Dy 0.3849 0.8717 0.8717
Dy 0.1283 0.1283 0.1283
Dy 0.1283 0.1283 0.6151
Dy 0.1283 0.6151 0.1283
Dy 0.6151 0.1283 0.1283
Dy 0.6491 0.6491 0.0527
Dy 0.6491 0.6491 0.6491
Dy 0.6491 0.0527 0.6491
Dy 0.0527 0.6491 0.6491
Dy 0.3509 0.3509 0.3509
Dy 0.3509 0.3509 0.9473
Dy 0.3509 0.9473 0.3509
Dy 0.9473 0.3509 0.3509
Tm 0.2576 0.7424 0.2576
Tm 0.7424 0.2576 0.7424
Tm 0.7424 0.2576 0.2576
Tm 0.2576 0.7424 0.7424
Tm 0.7424 0.7424 0.2576
Tm 0.2576 0.2576 0.7424

As for the space group: Fm-3m (225). For the density of states at the Fermi level, the calculation gives 55.018 states/eV/f.u. The formation energy is 0.2669 eV per atom.

No. 18
VASP calculation (PBE-GGA) on crystalline NdDy3Tm5 at its relaxed geometry.

Unit cell a=9.2410 b=9.2410 c=12.7614 alpha=51.31 beta=51.31 gamma=50.61
Positions (direct):
Nd 0.8940 0.8940 0.8692
Nd 0.1060 0.1060 0.1308
Dy 0.6935 0.6935 0.6862
Dy 0.8314 0.8314 0.3413
Dy 0.0000 0.0000 0.0000
Dy 0.0000 0.0000 0.5000
Dy 0.3065 0.3065 0.3138
Dy 0.1686 0.1686 0.6587
Tm 0.9220 0.5108 0.2187
Tm 0.3217 0.6783 0.0000
Tm 0.6287 0.6287 0.0726
Tm 0.4435 0.4435 0.4350
Tm 0.5565 0.5565 0.5650
Tm 0.3713 0.3713 0.9274
Tm 0.5108 0.9220 0.2187
Tm 0.6783 0.3217 0.0000
Tm 0.0780 0.4892 0.7813
Tm 0.4892 0.0780 0.7813

As for the space group: C2/m (12). For the density of states at the Fermi level, the calculation gives 13.846 states/eV/f.u. The energy above the most stable polymorph in this dataset is 3.17 eV/f.u. The formation energy is 0.4220 eV per atom.

No. 19
VASP calculation (PBE-GGA) on crystalline Nd3Dy2Tm7 at its relaxed geometry.

Unit cell a=3.5106 b=6.2991 c=17.8580 alpha=75.82 beta=90.00 gamma=90.00
Positions (direct):
Nd 0.5000 0.5000 0.0000
Nd 0.0000 0.1120 0.3418
Nd 0.0000 0.8880 0.6582
Dy 0.5000 0.6193 0.3253
Dy 0.5000 0.3807 0.6747
Tm 0.5000 0.2472 0.5002
Tm 0.5000 0.7528 0.4998
Tm 0.0000 0.5656 0.1649
Tm 0.0000 0.0000 0.0000
Tm 0.0000 0.4344 0.8351
Tm 0.5000 0.9407 0.8346
Tm 0.5000 0.0593 0.1654

As for the space group: P2/m (10). For the density of states at the Fermi level, the calculation gives 17.494 states/eV/f.u. The energy above the most stable polymorph in this dataset is 0.03 eV/f.u. The formation energy is 0.0924 eV per atom.